1.
Below is a geometry-optimized KNa3Be structure, with properties calculated at the PBE level.

Properties
M_tot	0.000	μB per atom
final energy	-0.714	eV per atom
DFT formation energy	1.042	eV per atom
excess energy over the best structure of this formula in the dataset	0.624	eV per atom

a = 6.4418 Å, b = 6.4418 Å, c = 6.4418 Å
α = 90.00°, β = 90.00°, γ = 90.00°
Closest atoms and distances in Å follow each position.
Fractional positions:
K 0.0000 0.0000 0.0000  6 Na 3.22
Na 0.0000 0.0000 0.5000  2 K 3.22
Be 0.5000 0.5000 0.5000  12 Na 4.56
Na 0.0000 0.5000 0.0000  2 K 3.22
Na 0.5000 0.0000 0.0000  2 K 3.22

2.
Below is a geometry-optimized LaHgI structure, with properties calculated at the PBE level.

Properties
M_tot	0.320	μB per atom
energy relative to the elements, uncorrected	-0.8072	eV/atom
final energy	-3.067	eV per atom
excess energy over the best structure of this formula in the dataset	0.086	eV per atom

a = 4.4783 Å, b = 4.4783 Å, c = 19.3136 Å
α = 90.00°, β = 90.00°, γ = 90.00°
Closest atoms and distances in Å follow each position.
Fractional positions:
I 0.5000 0.5000 0.6882  5 La 3.39-3.59
I 0.0000 0.0000 0.1882  5 La 3.39-3.59
Hg 0.0000 0.5000 0.5000  4 Hg 3.17, 4 La 3.31
Hg 0.5000 0.0000 0.5000  4 Hg 3.17, 4 La 3.31
Hg 0.0000 0.5000 0.0000  4 Hg 3.17, 4 La 3.31
La 0.0000 0.0000 0.3740  4 Hg 3.31, 5 I 3.39-3.59
La 0.5000 0.5000 0.1260  4 Hg 3.31, 5 I 3.39-3.59
La 0.0000 0.0000 0.6260  4 Hg 3.31, 5 I 3.39-3.59
Hg 0.5000 0.0000 0.0000  4 Hg 3.17, 4 La 3.31
La 0.5000 0.5000 0.8740  4 Hg 3.31, 5 I 3.39-3.59
I 0.0000 0.0000 0.8118  5 La 3.39-3.59
I 0.5000 0.5000 0.3118  5 La 3.39-3.59

3.
Below is a geometry-optimized Rb3SrAs2O6 structure, with properties calculated at the PBE level.

Properties
M_tot	0.087	μB per atom
energy relative to the elements, uncorrected	-1.7614	eV/atom
final energy	-5.397	eV per atom

a = 6.2759 Å, b = 6.2759 Å, c = 7.5200 Å
α = 90.00°, β = 90.00°, γ = 120.00°
Closest atoms and distances in Å follow each position.
Fractional positions:
O 0.8159 0.1841 0.6995  1 As 1.76
Rb 0.3333 0.6667 0.6696  9 O 3.15-3.21, 1 As 3.47
O 0.1841 0.8159 0.3005  1 As 1.76
O 0.1841 0.3682 0.3005  1 As 1.76
O 0.6318 0.8159 0.3005  1 As 1.76
As 0.3333 0.6667 0.2081  3 O 1.76
O 0.3682 0.1841 0.6995  1 As 1.76
Rb 0.0000 0.0000 0.0000  6 O 3.02
Rb 0.6667 0.3333 0.3304  9 O 3.15-3.21, 1 As 3.47
As 0.6667 0.3333 0.7919  3 O 1.76
Sr 0.0000 0.0000 0.5000  6 O 2.50
O 0.8159 0.6318 0.6995  1 As 1.76

Question: What is the formula in the third record?
Answer: Rb3SrAs2O6

Question: Which of these has the highest final energy?
Answer: KNa3Be

Question: final energy of number 2 (LaHgI)?
Answer: -3.067 eV per atom

Question: Number 1 is which compound?
Answer: KNa3Be